Entry from Alexandria via LeMat-Bulk: NaNi2PtF after structural relaxation (PBE+U).

Output
N(E_F) ... 0.316 states/eV per atom
Crystal system ... tetragonal
Total DFT energy (no corrections) ... -2.60 eV/atom

a = 4.890 Å, b = 4.890 Å, c = 4.245 Å
α = 90.00°, β = 90.00°, γ = 90.00°
Fractional positions:
Na: 0.000 0.000 0.000
Ni: 0.000 0.500 0.500
Ni: 0.500 0.000 0.500
Pt: 0.500 0.500 0.500
F: 0.500 0.500 0.000